The following is a DFT calculation (PBE-GGA) of a relaxed LiAlBr2 crystal.

abc: 7.533 7.533 7.533
angles: 90.00 90.00 90.00
Element x y z (fractional)
Li1 0.000 0.000 0.000
Li2 0.000 0.500 0.500
Li3 0.500 0.000 0.500
Li4 0.500 0.500 0.000
Al1 0.250 0.250 0.750
Al2 0.250 0.750 0.250
Al3 0.750 0.250 0.250
Al4 0.750 0.750 0.750
Br1 0.000 0.000 0.500
Br2 0.000 0.500 0.000
Br3 0.250 0.250 0.250
Br4 0.250 0.750 0.750
Br5 0.500 0.000 0.000
Br6 0.500 0.500 0.500
Br7 0.750 0.250 0.750
Br8 0.750 0.750 0.250

Values from the calculation:
For the volume, the calculation gives 427.4 Å³ per cell. The value obtained for the formation energy (no corrections) is -0.239 eV per atom. As for the total DFT energy (no corrections): -39.83 eV/cell. The space group is No. 216.